[1]
K12RbTe4F3 | PBE | optimized geometry

Results
**Crystal system**: cubic
**M_tot**: 0.0 μB per cell
**E**: -56.6 eV/f.u.
**Formation energy from raw total energies**: -1.21 eV/atom

Geometry as CIF:
```
data_K12RbTe4F3
_chemical_formula_sum 'K24 Rb2 Te8 F6'
_space_group_name_H-M_alt 'I m -3 m'
_space_group_IT_number 229
_space_group_name_Hall '-I 4 2 3'
_cell_length_a 11.380
_cell_length_b 11.380
_cell_length_c 11.380
_cell_angle_alpha 90.00
_cell_angle_beta 90.00
_cell_angle_gamma 90.00
loop_
_atom_site_label
_atom_site_type_symbol
_atom_site_fract_x
_atom_site_fract_y
_atom_site_fract_z
K1 K 0.000 0.000 0.286
K2 K 0.000 0.250 0.500
Rb1 Rb 0.000 0.000 0.000
Te1 Te 0.250 0.250 0.250
F1 F 0.000 0.000 0.500
```

=====

[2]
La6RhSe5 | PBE | optimized geometry

Results
**Crystal system**: monoclinic
**M_tot**: 0.0 μB per cell
**E**: -75.7 eV/f.u.
**Formation energy from raw total energies**: -1.78 eV/atom

Geometry as CIF:
```
data_La6RhSe5
_chemical_formula_sum 'La12 Rh2 Se10'
_space_group_name_H-M_alt 'C 1 2/m 1'
_space_group_IT_number 12
_cell_length_a 7.493
_cell_length_b 12.925
_cell_length_c 7.453
_cell_angle_alpha 90.00
_cell_angle_beta 109.53
_cell_angle_gamma 90.00
loop_
_space_group_symop_operation_xyz
'x,y,z'
'-x,-y,-z'
'-x,y,-z'
'x,-y,z'
'x+1/2,y+1/2,z'
'-x+1/2,-y+1/2,-z'
'-x+1/2,y+1/2,-z'
'x+1/2,-y+1/2,z'
loop_
_atom_site_label
_atom_site_type_symbol
_atom_site_fract_x
_atom_site_fract_y
_atom_site_fract_z
La1 La 0.241 0.000 0.254
La2 La 0.242 0.161 0.742
Rh1 Rh 0.000 0.000 0.500
Se1 Se 0.000 0.173 0.000
Se2 Se 0.000 0.334 0.500
Se3 Se 0.000 0.500 0.000
```

=====

[3]
Bi3SbPt2 | PBE | optimized geometry

Results
**Crystal system**: monoclinic
**M_tot**: 0.0 μB per cell
**E**: -29.7 eV/f.u.
**Formation energy from raw total energies**: -0.31 eV/atom

Geometry as CIF:
```
data_Bi3SbPt2
_chemical_formula_sum 'Bi6 Sb2 Pt4'
_space_group_name_H-M_alt 'P 1 21 1'
_space_group_IT_number 4
_cell_length_a 6.753
_cell_length_b 6.756
_cell_length_c 6.755
_cell_angle_alpha 90.00
_cell_angle_beta 91.45
_cell_angle_gamma 90.00
loop_
_space_group_symop_operation_xyz
'x,y,z'
'-x,y+1/2,-z'
loop_
_atom_site_label
_atom_site_type_symbol
_atom_site_fract_x
_atom_site_fract_y
_atom_site_fract_z
Bi1 Bi 0.117 0.000 0.370
Bi2 Bi 0.375 0.759 0.871
Bi3 Bi 0.381 0.258 0.632
Sb1 Sb 0.124 0.502 0.124
Pt1 Pt 0.238 0.137 0.000
Pt2 Pt 0.248 0.625 0.489
```

=====

[4]
La2PaC | PBE | optimized geometry

Results
**Crystal system**: trigonal
**M_tot**: 0.0 μB per cell
**E**: -27.4 eV/f.u.
**Energy relative to the elements**: 1.14 eV/f.u.

Geometry as CIF:
```
data_La2PaC
_chemical_formula_sum 'La6 Pa3 C3'
_space_group_name_H-M_alt 'R -3 m'
_space_group_IT_number 166
_space_group_name_Hall '-R 3 2"'
_cell_length_a 3.4904
_cell_length_b 3.4904
_cell_length_c 29.1127
_cell_angle_alpha 90.00
_cell_angle_beta 90.00
_cell_angle_gamma 120.00
loop_
_atom_site_label
_atom_site_type_symbol
_atom_site_fract_x
_atom_site_fract_y
_atom_site_fract_z
La1 La 0.0000 0.0000 0.1145
Pa1 Pa 0.0000 0.0000 0.0000
C1 C 0.0000 0.0000 0.5000
```

=====

[5]
Ac4CoSeBr2 | PBE | optimized geometry

Results
**Crystal system**: monoclinic
**M_tot**: 0.0 μB per cell
**E**: -39.3 eV/f.u.
**Formation energy from raw total energies**: -1.11 eV/atom

Geometry as CIF:
```
data_Ac4CoSeBr2
_chemical_formula_sum 'Ac4 Co1 Se1 Br2'
_space_group_name_H-M_alt 'P 1 2/m 1'
_space_group_IT_number 10
_cell_length_a 8.088
_cell_length_b 4.230
_cell_length_c 8.314
_cell_angle_alpha 90.00
_cell_angle_beta 107.13
_cell_angle_gamma 90.00
loop_
_space_group_symop_operation_xyz
'x,y,z'
'-x,-y,-z'
'-x,y,-z'
'x,-y,z'
loop_
_atom_site_label
_atom_site_type_symbol
_atom_site_fract_x
_atom_site_fract_y
_atom_site_fract_z
Ac1 Ac 0.202 0.000 0.193
Ac2 Ac 0.243 0.500 0.789
Co1 Co 0.000 0.500 0.000
Se1 Se 0.500 0.000 0.000
Br1 Br 0.000 0.000 0.500
Br2 Br 0.500 0.500 0.500
```

=====

[6]
SrP2HO | PBE | optimized geometry

Results
**Crystal system**: tetragonal
**M_tot**: 0.2 μB per cell
**E**: -22.8 eV/f.u.

Geometry as CIF:
```
data_SrP2HO
_chemical_formula_sum 'Sr1 P2 H1 O1'
_space_group_name_H-M_alt 'P 4/m m m'
_space_group_IT_number 123
_space_group_name_Hall '-P 4 2'
_cell_length_a 3.539
_cell_length_b 3.539
_cell_length_c 6.344
_cell_angle_alpha 90.00
_cell_angle_beta 90.00
_cell_angle_gamma 90.00
loop_
_atom_site_label
_atom_site_type_symbol
_atom_site_fract_x
_atom_site_fract_y
_atom_site_fract_z
Sr1 Sr 0.000 0.000 0.000
P1 P 0.000 0.500 0.500
H1 H 0.500 0.500 0.500
O1 O 0.500 0.500 0.000
```

=====

[7]
CrTeRu2 | PBE | optimized geometry

Results
**Crystal system**: tetragonal
**M_tot**: 1.7 μB per cell
**E**: -28.6 eV/f.u.
**Formation energy from raw total energies**: 0.68 eV/atom

Geometry as CIF:
```
data_CrTeRu2
_chemical_formula_sum 'Cr4 Te4 Ru8'
_space_group_name_H-M_alt 'I -4 2 d'
_space_group_IT_number 122
_space_group_name_Hall 'I -4 2bw'
_cell_length_a 5.392
_cell_length_b 5.392
_cell_length_c 11.757
_cell_angle_alpha 90.00
_cell_angle_beta 90.00
_cell_angle_gamma 90.00
loop_
_atom_site_label
_atom_site_type_symbol
_atom_site_fract_x
_atom_site_fract_y
_atom_site_fract_z
Cr1 Cr 0.000 0.000 0.000
Te1 Te 0.000 0.000 0.500
Ru1 Ru 0.196 0.250 0.125
```

=====

[8]
LaPr2Pt | PBE | optimized geometry

Results
**Crystal system**: orthorhombic
**M_tot**: 0.0 μB per cell
**E**: -23.0 eV/f.u.
**Energy relative to the elements**: -2.49 eV/f.u.

Geometry as CIF:
```
data_LaPr2Pt
_chemical_formula_sum 'La4 Pr8 Pt4'
_space_group_name_H-M_alt 'P n m a'
_space_group_IT_number 62
_cell_length_a 7.327
_cell_length_b 10.213
_cell_length_c 6.753
_cell_angle_alpha 90.00
_cell_angle_beta 90.00
_cell_angle_gamma 90.00
loop_
_space_group_symop_operation_xyz
'x,y,z'
'-x,-y,-z'
'-x+1/2,-y,z+1/2'
'x+1/2,y,-z+1/2'
'x+1/2,-y+1/2,-z+1/2'
'-x+1/2,y+1/2,z+1/2'
'-x,y+1/2,-z'
'x,-y+1/2,z'
loop_
_atom_site_label
_atom_site_type_symbol
_atom_site_fract_x
_atom_site_fract_y
_atom_site_fract_z
La1 La 0.028 0.250 0.143
Pr1 Pr 0.176 0.063 0.671
Pt1 Pt 0.121 0.750 0.437
```

=====

[9]
NaCdGe2 | PBE | optimized geometry

Results
**Crystal system**: tetragonal
**M_tot**: 0.0 μB per cell
**E**: -10.7 eV/f.u.
**Energy relative to the elements**: 0.76 eV/f.u.

Geometry as CIF:
```
data_NaCdGe2
_chemical_formula_sum 'Na4 Cd4 Ge8'
_space_group_name_H-M_alt 'I -4 2 d'
_space_group_IT_number 122
_space_group_name_Hall 'I -4 2bw'
_cell_length_a 4.379
_cell_length_b 4.379
_cell_length_c 19.962
_cell_angle_alpha 90.00
_cell_angle_beta 90.00
_cell_angle_gamma 90.00
loop_
_atom_site_label
_atom_site_type_symbol
_atom_site_fract_x
_atom_site_fract_y
_atom_site_fract_z
Na1 Na 0.000 0.000 0.000
Cd1 Cd 0.000 0.000 0.500
Ge1 Ge 0.184 0.250 0.625
```

=====

[10]
Y2ThUAs4 | PBE | optimized geometry

Results
**Crystal system**: monoclinic
**M_tot**: 2.7 μB per cell
**E**: -60.7 eV/f.u.
**Energy relative to the elements**: -10.43 eV/f.u.

Geometry as CIF:
```
data_Y2ThUAs4
_chemical_formula_sum 'Y2 Th1 U1 As4'
_space_group_name_H-M_alt 'P 1 2/m 1'
_space_group_IT_number 10
_cell_length_a 7.179
_cell_length_b 4.148
_cell_length_c 7.209
_cell_angle_alpha 90.00
_cell_angle_beta 109.39
_cell_angle_gamma 90.00
loop_
_space_group_symop_operation_xyz
'x,y,z'
'-x,-y,-z'
'-x,y,-z'
'x,-y,z'
loop_
_atom_site_label
_atom_site_type_symbol
_atom_site_fract_x
_atom_site_fract_y
_atom_site_fract_z
Y1 Y 0.000 0.000 0.000
Y2 Y 0.500 0.500 0.000
Th1 Th 0.000 0.500 0.500
U1 U 0.500 0.000 0.500
As1 As 0.255 0.500 0.249
As2 As 0.257 0.000 0.754
```

=====

[11]
CaMg6 | PBE | optimized geometry

Results
**Crystal system**: orthorhombic
**M_tot**: 0.0 μB per cell
**E**: -11.7 eV/f.u.
**Energy relative to the elements**: -0.14 eV/f.u.

Geometry as CIF:
```
data_CaMg6
_chemical_formula_sum 'Ca4 Mg24'
_space_group_name_H-M_alt 'P n m a'
_space_group_IT_number 62
_cell_length_a 9.560
_cell_length_b 6.105
_cell_length_c 12.382
_cell_angle_alpha 90.00
_cell_angle_beta 90.00
_cell_angle_gamma 90.00
loop_
_space_group_symop_operation_xyz
'x,y,z'
'-x,-y,-z'
'-x+1/2,-y,z+1/2'
'x+1/2,y,-z+1/2'
'x+1/2,-y+1/2,-z+1/2'
'-x+1/2,y+1/2,z+1/2'
'-x,y+1/2,-z'
'x,-y+1/2,z'
loop_
_atom_site_label
_atom_site_type_symbol
_atom_site_fract_x
_atom_site_fract_y
_atom_site_fract_z
Ca1 Ca 0.247 0.250 0.068
Mg1 Mg 0.061 0.750 0.088
Mg2 Mg 0.063 0.010 0.309
Mg3 Mg 0.099 0.250 0.518
Mg4 Mg 0.141 0.750 0.853
Mg5 Mg 0.188 0.250 0.756
```

=====

[12]
Ca2MnReN5 | PBE | optimized geometry

Results
**Crystal system**: orthorhombic
**M_tot**: 3.9 μB per cell
**E**: -71.4 eV/f.u.
**Formation energy from raw total energies**: -0.47 eV/atom

Geometry as CIF:
```
data_Ca2MnReN5
_chemical_formula_sum 'Ca8 Mn4 Re4 N20'
_space_group_name_H-M_alt 'C m c 21'
_space_group_IT_number 36
_cell_length_a 3.153
_cell_length_b 14.274
_cell_length_c 10.098
_cell_angle_alpha 90.00
_cell_angle_beta 90.00
_cell_angle_gamma 90.00
loop_
_space_group_symop_operation_xyz
'x,y,z'
'-x,-y,z+1/2'
'-x,y,z'
'x,-y,z+1/2'
'x+1/2,y+1/2,z'
'-x+1/2,-y+1/2,z+1/2'
'-x+1/2,y+1/2,z'
'x+1/2,-y+1/2,z+1/2'
loop_
_atom_site_label
_atom_site_type_symbol
_atom_site_fract_x
_atom_site_fract_y
_atom_site_fract_z
Ca1 Ca 0.000 0.114 0.000
Ca2 Ca 0.000 0.128 0.626
Mn1 Mn 0.000 0.446 0.752
Re1 Re 0.000 0.215 0.341
N1 N 0.000 0.037 0.335
N2 N 0.000 0.298 0.966
N3 N 0.000 0.322 0.706
N4 N 0.000 0.339 0.318
N5 N 0.000 0.498 0.602
```